Record 1
{"formula": "TaTl2Br", "functional": "PBE-GGA", "state": "relaxed", "magmom_total_mub_per_fu": 0.0, "total_energy_ev_per_atom": -4.05, "space_group": "No. 65", "polymorph_energy_kcal_per_mol_atoms": 10.39, "formation_energy_uncorrected_ev_per_atom": 0.5148, "cell": [[-1.984, 1.197, -2.381], [0.174, -3.302, -0.322], [-7.296, -0.932, 5.610]], "species": ["Tl", "Tl", "Br", "Ta"], "fractional_positions": [[0.000, 0.000, 0.990], [0.000, 0.000, 0.510], [0.500, 0.500, 0.250], [0.500, 0.500, 0.750]]}

---

Record 2
{"formula": "Tb2Co3Ge4Ir", "functional": "PBE-GGA", "state": "relaxed", "magmom_total_mub_per_fu": 0.0, "total_energy_ev_per_atom": -6.43, "space_group": "No. 115", "cell": [[-3.750, -1.601, -0.352], [1.427, -3.621, 1.267], [-1.927, 2.479, 9.253]], "species": ["Tb", "Tb", "Co", "Co", "Co", "Ge", "Ge", "Ge", "Ge", "Ir"], "fractional_positions": [[0.500, 0.000, 0.243], [0.000, 0.500, 0.757], [0.000, 0.000, 0.500], [0.500, 0.000, 0.876], [0.000, 0.500, 0.124], [0.500, 0.500, 0.000], [0.000, 0.000, 0.000], [0.500, 0.000, 0.639], [0.000, 0.500, 0.361], [0.500, 0.500, 0.500]]}

---

Record 3
{"formula": "BaMoPt2", "functional": "PBE-GGA", "state": "relaxed", "magmom_total_mub_per_fu": 2.6, "total_energy_ev_per_atom": -5.66, "space_group": "No. 119", "polymorph_energy_kcal_per_mol_atoms": 18.51, "cell": [[-2.919, -2.046, -4.122], [-4.595, -2.352, 1.745], [2.287, 4.862, 0.907]], "species": ["Ba", "Mo", "Pt", "Pt"], "fractional_positions": [[0.500, 0.500, 0.000], [0.750, 0.250, 0.500], [0.000, 0.000, 0.000], [0.250, 0.750, 0.500]]}

---

Record 4
{"formula": "HoMnSi3Ir", "functional": "PBE-GGA", "state": "relaxed", "magmom_total_mub_per_fu": 0.0, "total_energy_ev_per_atom": -6.84, "space_group": "No. 63", "formation_energy_uncorrected_ev_per_atom": -0.3634, "cell": [[-3.601, -2.795, -2.824], [5.149, -5.227, -1.392], [-4.052, -0.044, 5.211]], "species": ["Ho", "Ho", "Mn", "Mn", "Si", "Si", "Si", "Si", "Si", "Si", "Ir", "Ir"], "fractional_positions": [[0.750, 0.235, 0.470], [0.250, 0.765, 0.530], [0.250, 0.046, 0.093], [0.750, 0.954, 0.907], [0.250, 0.239, 0.478], [0.000, 0.240, 0.000], [0.500, 0.760, 0.000], [0.500, 0.240, 0.000], [0.000, 0.760, 0.000], [0.750, 0.761, 0.522], [0.250, 0.442, 0.884], [0.750, 0.558, 0.116]]}

---

Record 5
{"formula": "K2ZnCd7", "functional": "PBE-GGA", "state": "relaxed", "magmom_total_mub_per_fu": 0.0, "total_energy_ev_per_atom": -1.02, "space_group": "No. 115", "cell": [[-2.664, 3.765, 0.578], [-0.199, -0.842, 4.567], [10.799, 7.362, 1.828]], "species": ["K", "K", "Zn", "Cd", "Cd", "Cd", "Cd", "Cd", "Cd", "Cd"], "fractional_positions": [[0.500, 0.000, 0.755], [0.000, 0.500, 0.245], [0.500, 0.500, 0.000], [0.000, 0.500, 0.866], [0.500, 0.000, 0.355], [0.500, 0.000, 0.134], [0.000, 0.500, 0.645], [0.000, 0.000, 0.500], [0.000, 0.000, 0.000], [0.500, 0.500, 0.500]]}

---

Record 6
{"formula": "Nd5Y5Ho", "functional": "PBE-GGA", "state": "relaxed", "magmom_total_mub_per_fu": 1.0, "total_energy_ev_per_atom": -5.26, "space_group": "No. 12", "cell": [[-2.581, 1.391, 5.340], [4.565, -8.718, 1.003], [4.715, 5.078, 0.956]], "species": ["Nd", "Nd", "Nd", "Nd", "Nd", "Y", "Y", "Y", "Y", "Y", "Ho"], "fractional_positions": [[0.672, 0.343, 0.185], [0.625, 0.251, 0.640], [0.000, 0.000, 0.500], [0.375, 0.749, 0.360], [0.328, 0.657, 0.815], [0.826, 0.651, 0.078], [0.822, 0.645, 0.583], [0.500, 0.000, 0.000], [0.178, 0.355, 0.417], [0.174, 0.349, 0.922], [0.000, 0.000, 0.000]]}

---

Record 7
{"formula": "Pr2DyYTe6", "functional": "PBE-GGA", "state": "relaxed", "magmom_total_mub_per_fu": 0.0, "total_energy_ev_per_atom": -5.33, "space_group": "No. 146", "formation_energy_uncorrected_ev_per_atom": -1.3780, "cell": [[7.880, 0.000, 0.001], [3.940, 6.824, 0.000], [3.940, 2.275, 7.086]], "species": ["Pr", "Pr", "Dy", "Y", "Te", "Te", "Te", "Te", "Te", "Te"], "fractional_positions": [[0.515, 0.515, 0.456], [0.015, 0.015, 0.956], [0.324, 0.324, 0.029], [0.823, 0.823, 0.530], [0.595, 0.212, 0.257], [0.212, 0.936, 0.257], [0.936, 0.595, 0.257], [0.435, 0.712, 0.757], [0.712, 0.096, 0.757], [0.096, 0.435, 0.757]]}

---

Record 8
{"formula": "La4Co", "functional": "PBE-GGA", "state": "relaxed", "magmom_total_mub_per_fu": 0.0, "total_energy_ev_per_atom": -5.18, "space_group": "No. 227", "polymorph_energy_kcal_per_mol_atoms": 6.62, "cell": [[5.706, 3.213, 4.294], [-0.017, 7.705, 1.397], [-1.546, 2.670, 7.197]], "species": ["La", "La", "La", "La", "La", "La", "La", "La", "Co", "Co"], "fractional_positions": [[0.884, 0.884, 0.884], [0.349, 0.884, 0.884], [0.884, 0.884, 0.349], [0.901, 0.366, 0.366], [0.366, 0.366, 0.366], [0.884, 0.349, 0.884], [0.366, 0.366, 0.901], [0.366, 0.901, 0.366], [0.500, 0.500, 0.500], [0.750, 0.750, 0.750]]}

---

Record 9
{"formula": "Zr3Zn2N", "functional": "PBE-GGA", "state": "relaxed", "magmom_total_mub_per_fu": 0.0, "total_energy_ev_per_atom": -6.79, "space_group": "No. 213", "formation_energy_uncorrected_ev_per_atom": -0.7010, "cell": [[7.359, 0.000, 0.000], [0.000, 7.359, 0.000], [0.000, 0.000, 7.359]], "species": ["Zr", "Zr", "Zr", "Zr", "Zr", "Zr", "Zr", "Zr", "Zr", "Zr", "Zr", "Zr", "Zn", "Zn", "Zn", "Zn", "Zn", "Zn", "Zn", "Zn", "N", "N", "N", "N"], "fractional_positions": [[0.625, 0.291, 0.541], [0.709, 0.041, 0.875], [0.541, 0.625, 0.291], [0.959, 0.375, 0.791], [0.291, 0.541, 0.625], [0.459, 0.125, 0.209], [0.041, 0.875, 0.709], [0.791, 0.959, 0.375], [0.209, 0.459, 0.125], [0.875, 0.709, 0.041], [0.375, 0.791, 0.959], [0.125, 0.209, 0.459], [0.572, 0.428, 0.928], [0.678, 0.678, 0.678], [0.928, 0.572, 0.428], [0.428, 0.928, 0.572], [0.178, 0.822, 0.322], [0.822, 0.322, 0.178], [0.322, 0.178, 0.822], [0.072, 0.072, 0.072], [0.875, 0.125, 0.625], [0.125, 0.625, 0.875], [0.625, 0.875, 0.125], [0.375, 0.375, 0.375]]}

---

Record 10
{"formula": "KRbOs2I", "functional": "PBE-GGA", "state": "relaxed", "magmom_total_mub_per_fu": 7.0, "total_energy_ev_per_atom": -2.82, "space_group": "No. 123", "polymorph_energy_kcal_per_mol_atoms": 0.00, "formation_energy_uncorrected_ev_per_atom": 2.3909, "cell": [[5.818, 0.000, 0.000], [0.000, 7.154, 0.000], [0.000, 0.000, 5.818]], "species": ["I", "K", "Os", "Os", "Rb"], "fractional_positions": [[0.500, 0.500, 0.500], [0.000, 0.000, 0.000], [0.000, 0.000, 0.500], [0.500, 0.000, 0.000], [0.000, 0.500, 0.000]]}

---

Record 11
{"formula": "La5NdDy2Ho", "functional": "PBE-GGA", "state": "relaxed", "magmom_total_mub_per_fu": 0.0, "total_energy_ev_per_atom": -4.52, "space_group": "No. 140", "cell": [[9.538, 0.000, 0.000], [0.000, 9.538, 0.000], [-4.769, -4.769, 7.110]], "species": ["La", "La", "La", "La", "La", "La", "La", "La", "La", "La", "Nd", "Nd", "Dy", "Dy", "Dy", "Dy", "Ho", "Ho"], "fractional_positions": [[0.933, 0.433, 0.269], [0.664, 0.164, 0.731], [0.067, 0.567, 0.731], [0.164, 0.067, 0.731], [0.567, 0.664, 0.731], [0.836, 0.933, 0.269], [0.433, 0.336, 0.269], [0.336, 0.836, 0.269], [0.500, 0.500, 0.000], [0.000, 0.000, 0.000], [0.250, 0.250, 0.500], [0.750, 0.750, 0.500], [0.108, 0.392, 0.000], [0.608, 0.108, 0.000], [0.392, 0.892, 0.000], [0.892, 0.608, 0.000], [0.250, 0.750, 0.500], [0.750, 0.250, 0.500]]}

---

Record 12
{"formula": "Li2Th2CdPd5", "functional": "PBE-GGA", "state": "relaxed", "magmom_total_mub_per_fu": 0.0, "total_energy_ev_per_atom": -5.13, "space_group": "No. 127", "cell": [[-2.329, -0.578, -2.919], [-4.182, -7.382, 4.797], [-6.436, 6.188, 3.911]], "species": ["Li", "Li", "Li", "Li", "Th", "Th", "Th", "Th", "Cd", "Cd", "Pd", "Pd", "Pd", "Pd", "Pd", "Pd", "Pd", "Pd", "Pd", "Pd"], "fractional_positions": [[0.000, 0.117, 0.617], [0.000, 0.883, 0.383], [0.000, 0.617, 0.883], [0.000, 0.383, 0.117], [0.000, 0.680, 0.180], [0.000, 0.320, 0.820], [0.000, 0.180, 0.320], [0.000, 0.820, 0.680], [0.000, 0.000, 0.000], [0.000, 0.500, 0.500], [0.500, 0.212, 0.070], [0.500, 0.788, 0.930], [0.500, 0.070, 0.788], [0.500, 0.712, 0.430], [0.500, 0.930, 0.212], [0.500, 0.288, 0.570], [0.500, 0.570, 0.712], [0.500, 0.430, 0.288], [0.500, 0.500, 0.000], [0.500, 0.000, 0.500]]}